VASP calculation (PBE-GGA) on crystalline CaYTa2 at its relaxed geometry.

Its energy above the most stable polymorph in this dataset is 0.7509 eV per atom. The calculation puts the density of states at the Fermi level at 1.2090 states/eV/atom. Its theoretical density is 8.571 g cm⁻³. The value obtained for the energy relative to the elements is 1.028 eV per atom. Its size of the total moment is 0.000 μB per atom.

Lattice parameters (Å, degrees): 5.123 5.123 5.123 60.00 60.00 60.00
Sites, in units of the cell vectors:
Y1 0.500 0.500 0.500
Ca1 0.000 0.000 0.000
Ta1 0.250 0.250 0.250
Ta2 0.750 0.750 0.750